(1)
BaSrIr2: relaxed, GGA-PBEsol.

Cell: 4.5295 4.8260 5.7771 Å, 114.69 90.00 90.00°
Fractional coordinates of all 4 atoms:
Sr: 0.0000 0.1066 0.2131
Ir: 0.0000 0.7839 0.5679
Ir: 0.5000 0.7093 0.4186
Ba: 0.5000 0.3998 0.7997

Properties
Total DFT energy (no corrections)   -0.443 Ry per atom
ΔE_f   -0.124 eV per atom
Calculated volume   28.68 Å³ per atom
D(E_F)   0.46 states/eV per atom
ΔE to the lowest computed polymorph   0.00 eV/f.u.



(2)
BaSr4Ir: relaxed, GGA-PBEsol.

Cell: 6.9138 6.9138 6.9138 Å, 60.00 60.00 60.00°
Fractional coordinates of all 6 atoms:
Ba: 0.7500 0.7500 0.7500
Ir: 0.0000 0.0000 0.0000
Sr: 0.8808 0.3731 0.3731
Sr: 0.3731 0.3731 0.3731
Sr: 0.3731 0.3731 0.8808
Sr: 0.3731 0.8808 0.3731

Properties
Total DFT energy (no corrections)   -0.173 Ry per atom
ΔE_f   0.872 eV per atom
Calculated volume   38.95 Å³ per atom
D(E_F)   1.20 states/eV per atom



(3)
Ba3SrIr: relaxed, GGA-PBEsol.

Cell: 6.1506 6.1506 6.1506 Å, 90.00 90.00 90.00°
Fractional coordinates of all 5 atoms:
Sr: 0.5000 0.5000 0.5000
Ir: 0.0000 0.0000 0.0000
Ba: 0.0000 0.5000 0.0000
Ba: 0.0000 0.0000 0.5000
Ba: 0.5000 0.0000 0.0000

Properties
Total DFT energy (no corrections)   -0.267 Ry per atom
ΔE_f   -0.011 eV per atom
Calculated volume   46.54 Å³ per atom
D(E_F)   0.82 states/eV per atom



(4)
BaSr2Ir: relaxed, GGA-PBEsol.

Cell: 3.7454 3.7454 10.6581 Å, 90.00 90.00 90.03°
Fractional coordinates of all 4 atoms:
Ba: 0.0000 0.0000 0.4084
Ir: 0.5000 0.5000 0.2427
Sr: 0.0000 0.0000 0.0888
Sr: 0.5000 0.5000 0.7602

Properties
Total DFT energy (no corrections)   -0.282 Ry per atom
ΔE_f   0.081 eV per atom
Calculated volume   37.38 Å³ per atom
D(E_F)   1.09 states/eV per atom
ΔE to the lowest computed polymorph   0.46 eV/f.u.



Number 2 is which compound?
BaSr4Ir



Among the records above, which one has the lowest calculated volume?
BaSrIr2



Which of these has the highest D(E_F)?
BaSr4Ir



The highest calculated volume belongs to which entry?
Ba3SrIr